Here is an optimized crystal structure of CrOs2Rh from the Alexandria database. Energies are from PBE-GGA.

Calculated volume: 14.25 Å³/atom
Relative energy among the computed polymorphs: 217 meV/atom
Total DFT energy (no corrections): -9.6057 eV/atom
Space-group type: Immm, No. 71
Energy relative to the elements: 0.253 eV per atom

Cell: 5.390 5.390 5.390 Å, 150.16 132.58 57.04°
Site moments in Bohr magnetons follow the coordinates.
Positions (direct):
Os  0.535  0.535  0.000  -0.10
Os  0.965  0.965  0.000  -0.10
Cr  0.750  0.250  0.500  1.24
Rh  0.250  0.750  0.500  0.07